# CrCdIrPt2

A geometry-optimized CrCdIrPt2 structure (PBE, Alexandria via LeMat-Bulk).

Computed properties:
energy of formation from the pure elements	0.83	eV per atom
spin magnetization	0.00	μB per cell
energy	-27.34	eV for the cell shown
crystal system	tetragonal

Unit cell a=4.647 b=4.476 c=4.647 alpha=90.00 beta=90.00 gamma=90.00
Fractional coordinates of all 5 atoms:
1 Cr 0.000 0.000 0.000
2 Ir 0.000 0.500 0.000
3 Pt 0.000 0.000 0.500
4 Pt 0.500 0.000 0.000
5 Cd 0.500 0.500 0.500